# meta-GGA SCAN NbCrAgIr2, PBEsol geometry
data_NbCrAgIr2
_space_group_name_H-M_alt 'P 4/m m m'
_space_group_IT_number 123
_space_group_name_Hall '-P 4 2'
_cell_length_a 4.750
_cell_length_b 4.750
_cell_length_c 4.648
_cell_angle_alpha 90.00
_cell_angle_beta 90.00
_cell_angle_gamma 90.00
loop_
_atom_site_label
_atom_site_type_symbol
_atom_site_fract_x
_atom_site_fract_y
_atom_site_fract_z
Nb1 Nb 0.000 0.000 0.000
Cr1 Cr 0.500 0.500 0.000
Ag1 Ag 0.000 0.000 0.500
Ir1 Ir 0.000 0.500 0.500
# M_tot, μB per formula unit: 2.40
# Energy of formation from the pure elements, eV/atom: 2.14
# V, Å³ per atom: 20.97


# meta-GGA SCAN LiHRu3, PBEsol geometry
data_LiHRu3
_space_group_name_H-M_alt 'P m -3 m'
_space_group_IT_number 221
_space_group_name_Hall '-P 4 2 3'
_cell_length_a 3.978
_cell_length_b 3.978
_cell_length_c 3.978
_cell_angle_alpha 90.00
_cell_angle_beta 90.00
_cell_angle_gamma 90.00
loop_
_atom_site_label
_atom_site_type_symbol
_atom_site_fract_x
_atom_site_fract_y
_atom_site_fract_z
Li1 Li 0.000 0.000 0.000
H1 H 0.500 0.500 0.500
Ru1 Ru 0.000 0.000 0.500
# M_tot, μB per formula unit: 3.13
# Raw total energy, eV for the cell shown: -100.53
# V, Å³ per atom: 12.59


# meta-GGA SCAN InSbIrI2, PBEsol geometry
data_InSbIrI2
_space_group_name_H-M_alt 'P 4/m m m'
_space_group_IT_number 123
_space_group_name_Hall '-P 4 2'
_cell_length_a 5.628
_cell_length_b 5.628
_cell_length_c 4.920
_cell_angle_alpha 90.00
_cell_angle_beta 90.00
_cell_angle_gamma 90.00
loop_
_atom_site_label
_atom_site_type_symbol
_atom_site_fract_x
_atom_site_fract_y
_atom_site_fract_z
In1 In 0.000 0.000 0.000
Sb1 Sb 0.500 0.500 0.000
Ir1 Ir 0.500 0.500 0.500
I1 I 0.000 0.500 0.500
# M_tot, μB per formula unit: 0.00
# Uncorrected formation energy, eV/atom: 0.209
# V, Å³ per atom: 31.17


# meta-GGA SCAN LiCuAu, PBEsol geometry
data_LiCuAu
_space_group_name_H-M_alt 'F -4 3 m'
_space_group_IT_number 216
_space_group_name_Hall 'F -4 2 3'
_cell_length_a 5.807
_cell_length_b 5.807
_cell_length_c 5.807
_cell_angle_alpha 90.00
_cell_angle_beta 90.00
_cell_angle_gamma 90.00
loop_
_atom_site_label
_atom_site_type_symbol
_atom_site_fract_x
_atom_site_fract_y
_atom_site_fract_z
Li1 Li 0.000 0.000 0.000
Cu1 Cu 0.250 0.250 0.250
Au1 Au 0.000 0.000 0.500
# M_tot, μB per formula unit: 0.00
# Energy of formation from the pure elements, eV/atom: -0.12
# V, Å³ per atom: 16.32


# meta-GGA SCAN InTcHg, PBEsol geometry
data_InTcHg
_space_group_name_H-M_alt 'F m m 2'
_space_group_IT_number 42
_space_group_name_Hall 'F 2 -2'
_cell_length_a 3.087
_cell_length_b 5.151
_cell_length_c 14.250
_cell_angle_alpha 90.00
_cell_angle_beta 90.00
_cell_angle_gamma 90.00
loop_
_atom_site_label
_atom_site_type_symbol
_atom_site_fract_x
_atom_site_fract_y
_atom_site_fract_z
In1 In 0.000 0.000 0.000
Tc1 Tc 0.000 0.000 0.344
Hg1 Hg 0.000 0.000 0.682
# M_tot, μB per formula unit: 1.37
# Energy of formation from the pure elements, eV/atom: 0.56
# V, Å³ per atom: 18.88


# meta-GGA SCAN LiCo2Mo, PBEsol geometry
data_LiCo2Mo
_space_group_name_H-M_alt 'P 4 m m'
_space_group_IT_number 99
_cell_length_a 2.523
_cell_length_b 2.523
_cell_length_c 7.862
_cell_angle_alpha 90.00
_cell_angle_beta 90.00
_cell_angle_gamma 90.00
loop_
_space_group_symop_operation_xyz
'x,y,z'
'-y,x,z'
'-x,-y,z'
'y,-x,z'
'-x,y,z'
'y,x,z'
'x,-y,z'
'-y,-x,z'
loop_
_atom_site_label
_atom_site_type_symbol
_atom_site_fract_x
_atom_site_fract_y
_atom_site_fract_z
Li1 Li 0.000 0.000 0.000
Co1 Co 0.000 0.000 0.445
Co2 Co 0.500 0.500 0.249
Mo1 Mo 0.500 0.500 0.696
# M_tot, μB per formula unit: 3.25
# Energy of formation from the pure elements, eV/atom: 0.28
# V, Å³ per atom: 12.51


# meta-GGA SCAN Cu2OsW, PBEsol geometry
data_Cu2OsW
_space_group_name_H-M_alt 'P 1 m 1'
_space_group_IT_number 6
_cell_length_a 2.641
_cell_length_b 4.083
_cell_length_c 5.025
_cell_angle_alpha 90.00
_cell_angle_beta 101.15
_cell_angle_gamma 90.00
loop_
_space_group_symop_operation_xyz
'x,y,z'
'x,-y,z'
loop_
_atom_site_label
_atom_site_type_symbol
_atom_site_fract_x
_atom_site_fract_y
_atom_site_fract_z
Cu1 Cu 0.000 0.000 0.000
Cu2 Cu 0.085 0.500 0.233
Os1 Os 0.665 0.000 0.484
W1 W 0.418 0.500 0.745
# M_tot, μB per formula unit: 0.00
# Energy of formation from the pure elements, eV/atom: 0.27
# V, Å³ per atom: 13.29


# meta-GGA SCAN SiHg2Os, PBEsol geometry
data_SiHg2Os
_space_group_name_H-M_alt 'F -4 3 m'
_space_group_IT_number 216
_space_group_name_Hall 'F -4 2 3'
_cell_length_a 6.500
_cell_length_b 6.500
_cell_length_c 6.500
_cell_angle_alpha 90.00
_cell_angle_beta 90.00
_cell_angle_gamma 90.00
loop_
_atom_site_label
_atom_site_type_symbol
_atom_site_fract_x
_atom_site_fract_y
_atom_site_fract_z
Si1 Si 0.000 0.000 0.000
Hg1 Hg 0.000 0.000 0.500
Hg2 Hg 0.250 0.250 0.750
Os1 Os 0.250 0.250 0.250
# M_tot, μB per formula unit: 0.01
# Uncorrected formation energy, eV/atom: 1.019
# V, Å³ per atom: 17.16


# meta-GGA SCAN Sc2CoNi, PBEsol geometry
data_Sc2CoNi
_space_group_name_H-M_alt 'A m m 2'
_space_group_IT_number 38
_cell_length_a 3.704
_cell_length_b 3.533
_cell_length_c 9.673
_cell_angle_alpha 90.00
_cell_angle_beta 90.00
_cell_angle_gamma 90.00
loop_
_space_group_symop_operation_xyz
'x,y,z'
'-x,-y,z'
'-x,y,z'
'x,-y,z'
'x,y+1/2,z+1/2'
'-x,-y+1/2,z+1/2'
'-x,y+1/2,z+1/2'
'x,-y+1/2,z+1/2'
loop_
_atom_site_label
_atom_site_type_symbol
_atom_site_fract_x
_atom_site_fract_y
_atom_site_fract_z
Sc1 Sc 0.000 0.000 0.000
Sc2 Sc 0.500 0.000 0.290
Co1 Co 0.500 0.000 0.569
Ni1 Ni 0.000 0.000 0.718
# M_tot, μB per formula unit: 0.15
# Energy of formation from the pure elements, eV/atom: -0.31
# V, Å³ per atom: 15.82


# meta-GGA SCAN InAu2Se, PBEsol geometry
data_InAu2Se
_space_group_name_H-M_alt 'I 4/m m m'
_space_group_IT_number 139
_space_group_name_Hall '-I 4 2'
_cell_length_a 4.266
_cell_length_b 4.266
_cell_length_c 8.400
_cell_angle_alpha 90.00
_cell_angle_beta 90.00
_cell_angle_gamma 90.00
loop_
_atom_site_label
_atom_site_type_symbol
_atom_site_fract_x
_atom_site_fract_y
_atom_site_fract_z
In1 In 0.000 0.000 0.000
Au1 Au 0.000 0.500 0.250
Se1 Se 0.000 0.000 0.500
# M_tot, μB per formula unit: 0.00
# Uncorrected formation energy, eV/atom: 0.137
# V, Å³ per atom: 19.11


# meta-GGA SCAN LiIrCl3, PBEsol geometry
data_LiIrCl3
_space_group_name_H-M_alt 'P m -3 m'
_space_group_IT_number 221
_space_group_name_Hall '-P 4 2 3'
_cell_length_a 4.455
_cell_length_b 4.455
_cell_length_c 4.455
_cell_angle_alpha 90.00
_cell_angle_beta 90.00
_cell_angle_gamma 90.00
loop_
_atom_site_label
_atom_site_type_symbol
_atom_site_fract_x
_atom_site_fract_y
_atom_site_fract_z
Li1 Li 0.000 0.000 0.000
Ir1 Ir 0.500 0.500 0.500
Cl1 Cl 0.000 0.000 0.500
# M_tot, μB per formula unit: 3.11
# Uncorrected formation energy, eV/atom: 0.211
# V, Å³ per atom: 17.68


# meta-GGA SCAN GeAsN2, PBEsol geometry
data_GeAsN2
_space_group_name_H-M_alt 'I -4 2 d'
_space_group_IT_number 122
_space_group_name_Hall 'I -4 2bw'
_cell_length_a 5.078
_cell_length_b 5.078
_cell_length_c 8.124
_cell_angle_alpha 90.00
_cell_angle_beta 90.00
_cell_angle_gamma 90.00
loop_
_atom_site_label
_atom_site_type_symbol
_atom_site_fract_x
_atom_site_fract_y
_atom_site_fract_z
Ge1 Ge 0.000 0.000 0.000
As1 As 0.000 0.000 0.500
N1 N 0.178 0.250 0.125
# M_tot, μB per formula unit: 0.00
# Uncorrected formation energy, eV/atom: 0.620
# V, Å³ per atom: 13.09